PBE ScSi3Ir3, optimized geometry; calculated density = 8.47 g/cm³; volume = 19.77 Å³ per atom; symmetry = Pm-3n, No. 223; calculated total energy = -7.25 eV/atom
1.0
6.516 0.000 0.000
0.000 6.516 0.000
0.000 0.000 6.516
Si Ir Sc
6 6 2
direct
0.750 0.500 0.000
0.500 0.000 0.750
0.250 0.500 0.000
0.500 0.000 0.250
0.000 0.250 0.500
0.000 0.750 0.500
0.500 0.250 0.000
0.000 0.500 0.750
0.250 0.000 0.500
0.500 0.750 0.000
0.750 0.000 0.500
0.000 0.500 0.250
0.500 0.500 0.500
0.000 0.000 0.000



PBE Sc3Si2Ir2, optimized geometry; calculated density = 7.58 g/cm³; volume = 18.01 Å³ per atom; symmetry = Pbcm, No. 57; calculated total energy = -7.78 eV/atom
1.0
5.327 0.000 0.000
0.000 7.511 0.000
0.000 0.000 12.600
Ir Si Sc
8 8 12
direct
0.658 0.028 0.591
0.658 0.472 0.409
0.342 0.528 0.591
0.342 0.528 0.909
0.342 0.972 0.409
0.658 0.472 0.091
0.658 0.028 0.909
0.342 0.972 0.091
0.606 0.750 0.000
0.394 0.250 0.500
0.118 0.889 0.250
0.118 0.611 0.750
0.606 0.750 0.500
0.394 0.250 0.000
0.882 0.389 0.250
0.882 0.111 0.750
0.619 0.744 0.250
0.858 0.394 0.895
0.142 0.894 0.895
0.858 0.106 0.105
0.858 0.394 0.605
0.381 0.256 0.750
0.142 0.606 0.395
0.381 0.244 0.250
0.619 0.756 0.750
0.142 0.606 0.105
0.858 0.106 0.395
0.142 0.894 0.605



PBE ScSi3Ir2, optimized geometry; calculated density = 9.13 g/cm³; volume = 15.57 Å³ per atom; symmetry = C2/m, No. 12; calculated total energy = -7.49 eV/atom
1.0
-1.219 -3.637 -0.249
7.848 -0.452 -2.140
0.342 -0.759 9.425
Si Sc Ir
9 3 6
direct
0.643 0.286 0.925
0.500 0.000 0.500
0.638 0.276 0.184
0.357 0.714 0.075
0.774 0.548 0.639
0.226 0.452 0.361
0.048 0.097 0.375
0.362 0.724 0.816
0.952 0.903 0.625
0.853 0.706 0.300
0.000 0.000 0.000
0.147 0.294 0.700
0.353 0.705 0.553
0.792 0.584 0.909
0.647 0.295 0.447
0.492 0.985 0.232
0.208 0.416 0.091
0.508 0.015 0.768



PBE Sc4Si6Ir7, optimized geometry; calculated density = 10.73 g/cm³; volume = 15.41 Å³ per atom; symmetry = Im-3m, No. 229; calculated total energy = -8.10 eV/atom
1.0
6.982 0.000 0.000
-2.327 6.583 0.000
-2.327 -3.292 5.701
Ir Sc Si
7 4 6
direct
0.500 0.750 0.250
0.500 0.250 0.750
0.750 0.500 0.250
0.750 0.250 0.500
0.250 0.750 0.500
0.250 0.500 0.750
0.000 0.000 0.000
0.500 0.000 0.000
0.000 0.500 0.000
0.500 0.500 0.500
0.000 0.000 0.500
0.317 0.317 0.000
0.317 0.000 0.317
0.000 0.683 0.683
0.683 0.000 0.683
0.000 0.317 0.317
0.683 0.683 0.000



PBE ScSi2Ir, optimized geometry; calculated density = 7.69 g/cm³; volume = 15.84 Å³ per atom; symmetry = R-3m, No. 166; calculated total energy = -6.76 eV/atom
1.0
8.501 0.003 0.002
7.983 2.922 0.002
7.983 1.416 2.555
Ir Sc Si
1 1 2
direct
0.250 0.250 0.250
0.750 0.750 0.750
0.508 0.508 0.508
0.992 0.992 0.992



PBE ScSi2Ir, optimized geometry; calculated density = 8.00 g/cm³; volume = 15.22 Å³ per atom; symmetry = Fm-3m, No. 225; calculated total energy = -6.92 eV/atom
1.0
0.000 3.122 3.122
3.122 0.000 3.122
3.122 3.122 0.000
Si Ir Sc
2 1 1
direct
0.250 0.250 0.250
0.750 0.750 0.750
0.500 0.500 0.500
0.000 0.000 0.000



PBE ScSi2Ir, optimized geometry; calculated density = 7.90 g/cm³; volume = 15.42 Å³ per atom; symmetry = Pnma, No. 62; calculated total energy = -7.41 eV/atom
1.0
-1.736 3.623 -0.545
-5.567 -2.377 1.940
2.129 2.378 9.024
Si Sc Ir
8 4 4
direct
0.750 0.270 0.475
0.250 0.730 0.525
0.250 0.230 0.975
0.750 0.539 0.661
0.250 0.461 0.339
0.250 0.961 0.161
0.750 0.770 0.025
0.750 0.039 0.839
0.250 0.236 0.686
0.250 0.736 0.814
0.750 0.264 0.186
0.750 0.764 0.314
0.250 0.089 0.402
0.250 0.589 0.098
0.750 0.411 0.902
0.750 0.911 0.598



PBE Sc3Si3Ir, optimized geometry; calculated density = 5.58 g/cm³; volume = 17.48 Å³ per atom; symmetry = C2/m, No. 12; calculated total energy = -7.25 eV/atom
1.0
-2.079 -0.389 3.450
2.998 -2.237 3.927
3.047 10.511 5.395
Si Sc Ir
6 6 2
direct
0.117 0.839 0.926
0.037 0.161 0.765
0.874 0.705 0.548
0.963 0.839 0.235
0.126 0.295 0.452
0.883 0.161 0.074
0.602 0.718 0.078
0.518 0.338 0.627
0.482 0.662 0.373
0.739 0.747 0.775
0.261 0.253 0.225
0.398 0.282 0.922
0.244 0.922 0.589
0.756 0.078 0.411



PBE ScSi2Ir3, optimized geometry; calculated density = 11.96 g/cm³; volume = 15.68 Å³ per atom; symmetry = C2/m, No. 12; calculated total energy = -8.13 eV/atom
1.0
-1.864 -1.699 3.019
7.858 -1.763 1.295
-1.801 8.631 3.745
Ir Si Sc
9 6 3
direct
0.382 0.765 0.808
0.964 0.928 0.677
0.320 0.640 0.043
0.500 0.000 0.500
0.036 0.072 0.323
0.680 0.360 0.957
0.618 0.235 0.192
0.781 0.563 0.610
0.219 0.437 0.390
0.637 0.274 0.450
0.363 0.726 0.550
0.540 0.080 0.783
0.806 0.612 0.872
0.460 0.920 0.217
0.194 0.388 0.128
0.158 0.317 0.698
0.842 0.683 0.302
0.000 0.000 0.000



PBE Sc2Si7Ir12, optimized geometry; calculated density = 13.77 g/cm³; volume = 14.89 Å³ per atom; symmetry = P-6, No. 174; calculated total energy = -8.26 eV/atom
1.0
3.833 0.000 0.000
0.000 8.406 -4.853
0.000 0.000 9.706
Ir Si Sc
12 7 2
direct
0.500 0.194 0.417
0.000 0.454 0.515
0.500 0.583 0.777
0.000 0.485 0.939
0.500 0.223 0.806
0.500 0.395 0.284
0.500 0.716 0.112
0.000 0.265 0.044
0.500 0.888 0.605
0.000 0.061 0.546
0.000 0.779 0.735
0.000 0.956 0.221
0.500 0.451 0.076
0.000 0.215 0.258
0.000 0.333 0.667
0.000 0.043 0.785
0.500 0.625 0.549
0.500 0.924 0.375
0.000 0.742 0.957
0.500 0.000 0.000
0.000 0.667 0.333



PBE ScSi2Ir, optimized geometry; calculated density = 7.84 g/cm³; volume = 15.53 Å³ per atom; symmetry = P4mm, No. 99; calculated total energy = -7.03 eV/atom
1.0
3.176 0.000 0.000
0.000 3.176 0.000
0.000 0.000 6.155
Ir Sc Si
1 1 2
direct
0.000 0.000 0.441
0.500 0.500 0.766
0.000 0.000 0.033
0.500 0.500 0.260



PBE Sc3SiIr, optimized geometry; calculated density = 4.83 g/cm³; volume = 24.43 Å³ per atom; symmetry = Pm-3m, No. 221; calculated total energy = -6.78 eV/atom
1.0
4.962 0.000 0.000
0.000 4.962 0.000
0.000 0.000 4.962
Si Sc Ir
1 3 1
direct
0.500 0.500 0.500
0.000 0.500 0.000
0.500 0.000 0.000
0.000 0.000 0.500
0.000 0.000 0.000



Which formula does entry 6 have?
ScSi2Ir



Among the records above, which one has the lowest calculated density?
Sc3SiIr



Which value of calculated density does entry 4 give?
10.73 g/cm³



Which of these has the highest calculated density?
Sc2Si7Ir12